# CuNiPdO4 GGA+U relaxed
data_CuNiPdO4
_chemical_formula_sum 'Cu4 Ni4 Pd4 O16'
_space_group_name_H-M_alt 'I m m a'
_space_group_IT_number 74
_space_group_name_Hall '-I 2b 2'
_cell_length_a 5.890
_cell_length_b 6.044
_cell_length_c 8.627
_cell_angle_alpha 90.00
_cell_angle_beta 90.00
_cell_angle_gamma 90.00
loop_
_atom_site_label
_atom_site_type_symbol
_atom_site_fract_x
_atom_site_fract_y
_atom_site_fract_z
Cu1 Cu 0.000 0.250 0.140
Ni1 Ni 0.250 0.250 0.750
Pd1 Pd 0.000 0.000 0.500
O1 O 0.000 0.022 0.736
O2 O 0.235 0.250 0.506
# **VASP energy**: -5.1609 eV/atom
# **V**: 307.1 Å³ per cell